[1]
Ta2C2O | PBE | relaxed

Values from the calculation:
Energy relative to the lowest polymorph listed for this composition = 0.944 eV per atom
Final energy = -91.83 eV for the cell shown
Volume = 10.99 A^3/atom
Energy relative to the elements, uncorrected = 239 meV/atom

The structure in CIF format:
```
data_Ta2C2O
_chemical_formula_sum 'Ta4 C4 O2'
_cell_length_a 3.0384
_cell_length_b 3.0384
_cell_length_c 11.9022
_cell_angle_alpha 90.00
_cell_angle_beta 90.00
_cell_angle_gamma 90.00
_space_group_name_H-M_alt 'I 4/m m m'
_space_group_IT_number 139
_space_group_name_Hall '-I 4 2'
loop_
_atom_site_label
_atom_site_type_symbol
_atom_site_fract_x
_atom_site_fract_y
_atom_site_fract_z
Ta1 Ta 0.0000 0.0000 0.1210
C1 C 0.0000 0.5000 0.2500
O1 O 0.0000 0.0000 0.5000
```



[2]
ErNb2Co9 | PBE | relaxed

Values from the calculation:
Final energy = -271.34 eV for the cell shown
DFT formation energy = -0.149 eV per atom
Volume = 13.03 A^3/atom

The structure in CIF format:
```
data_ErNb2Co9
_chemical_formula_sum 'Er3 Nb6 Co27'
_cell_length_a 4.8091
_cell_length_b 4.8091
_cell_length_c 23.4283
_cell_angle_alpha 90.00
_cell_angle_beta 90.00
_cell_angle_gamma 120.00
_space_group_name_H-M_alt 'R -3 m'
_space_group_IT_number 166
_space_group_name_Hall '-R 3 2"'
loop_
_atom_site_label
_atom_site_type_symbol
_atom_site_fract_x
_atom_site_fract_y
_atom_site_fract_z
Er1 Er 0.0000 0.0000 0.0000
Nb1 Nb 0.0000 0.0000 0.1401
Co1 Co 0.0000 0.0000 0.3354
Co2 Co 0.0000 0.0000 0.5000
Co3 Co 0.0065 0.5032 0.9142
```



[3]
Sc2MnPb | PBE | relaxed

Values from the calculation:
Final energy = -51.51 eV for the cell shown
DFT formation energy = -0.053 eV per atom
Volume = 21.49 A^3/atom

The structure in CIF format:
```
data_Sc2MnPb
_chemical_formula_sum 'Sc4 Mn2 Pb2'
_cell_length_a 3.4504
_cell_length_b 4.8528
_cell_length_c 10.2680
_cell_angle_alpha 90.00
_cell_angle_beta 90.00
_cell_angle_gamma 90.00
_space_group_name_H-M_alt 'I m m 2'
_space_group_IT_number 44
_space_group_name_Hall 'I 2 -2'
loop_
_atom_site_label
_atom_site_type_symbol
_atom_site_fract_x
_atom_site_fract_y
_atom_site_fract_z
Sc1 Sc 0.0000 0.0000 0.0000
Sc2 Sc 0.0000 0.5000 0.2182
Mn1 Mn 0.0000 0.5000 0.7235
Pb1 Pb 0.0000 0.0000 0.4478
```